# 1
The following is a DFT calculation (PBE-GGA) of a geometry-optimized LiDy2Zn7 structure.

## Properties
The energy of formation from the pure elements comes out at -0.2716 eV per atom. The calculation puts the density of states at the Fermi level at 0.485 states/eV/atom. The volume comes out at 18.399 Å³/atom.

abc: 4.085 4.085 11.025
angles: 90.00 90.00 90.00
Space group P-4m2 (No. 115)
One atom of each set of equivalent atoms:
Li 0.000 0.000 0.000 [1 per cell]
Dy 0.000 0.500 0.740 [2 per cell]
Zn 0.000 0.000 0.500 [1 per cell]
Zn 0.000 0.500 0.142 [2 per cell]
Zn 0.000 0.500 0.364 [2 per cell]
Zn 0.500 0.500 0.000 [1 per cell]
Zn 0.500 0.500 0.500 [1 per cell]


# 2
The following is a DFT calculation (PBE-GGA) of a geometry-optimized KZrP2Cl structure.

## Properties
The calculation puts the density of states at the Fermi level at 0.601 states/eV/atom. The volume comes out at 25.817 Å³/atom. The calculation puts the total energy at -3.33 eV per atom.

abc: 5.078 5.078 5.007
angles: 90.00 90.00 90.00
Space group P4/mmm (No. 123)
One atom of each set of equivalent atoms:
K 0.000 0.000 0.000 [1 per cell]
Zr 0.500 0.500 0.500 [1 per cell]
P 0.000 0.500 0.000 [2 per cell]
Cl 0.000 0.000 0.500 [1 per cell]


# 3
The following is a DFT calculation (PBE-GGA) of a geometry-optimized PaTi2Zn structure.

## Properties
The energy of formation from the pure elements comes out at 0.0017 eV per atom. The calculation puts the density of states at the Fermi level at 1.367 states/eV/atom. The volume comes out at 18.178 Å³/atom.

abc: 4.463 4.463 3.650
angles: 90.00 90.00 90.00
Space group P4/mmm (No. 123)
One atom of each set of equivalent atoms:
Pa 0.000 0.000 0.000 [1 per cell]
Ti 0.000 0.500 0.500 [2 per cell]
Zn 0.500 0.500 0.000 [1 per cell]


# 4
The following is a DFT calculation (PBE-GGA) of a geometry-optimized LaAuC structure.

## Properties
The energy of formation from the pure elements comes out at -0.3295 eV per atom. The calculation puts the density of states at the Fermi level at 0.460 states/eV/atom. The volume comes out at 20.323 Å³/atom.

abc: 3.950 4.582 6.984
angles: 94.97 96.82 102.05
Space group P-1 (No. 2)
One atom of each set of equivalent atoms:
La 0.088 0.280 0.302 [2 per cell]
Au 0.497 0.237 0.888 [2 per cell]
C 0.415 0.863 0.453 [2 per cell]


# 5
The following is a DFT calculation (PBE-GGA) of a geometry-optimized BaZrN3 structure.

## Properties
The calculation puts the density of states at the Fermi level at 0.346 states/eV/atom. The volume comes out at 16.510 Å³/atom. The calculation puts the total energy at -7.40 eV per atom.

abc: 4.354 4.354 4.354
angles: 90.00 90.00 90.00
Space group Pm-3m (No. 221)
One atom of each set of equivalent atoms:
Ba 0.000 0.000 0.000 [1 per cell]
Zr 0.500 0.500 0.500 [1 per cell]
N 0.000 0.500 0.500 [3 per cell]


# 6
The following is a DFT calculation (PBE-GGA) of a geometry-optimized LiDySiRu structure.

## Properties
The calculation puts the density of states at the Fermi level at 0.756 states/eV/atom. The volume comes out at 16.186 Å³/atom. The calculation puts the total energy at -5.66 eV per atom.

abc: 6.374 6.374 6.374
angles: 90.00 90.00 90.00
Space group F-43m (No. 216)
One atom of each set of equivalent atoms:
Li 0.000 0.000 0.000 [4 per cell]
Dy 0.250 0.250 0.750 [4 per cell]
Si 0.250 0.250 0.250 [4 per cell]
Ru 0.000 0.000 0.500 [4 per cell]


# 7
The following is a DFT calculation (PBE-GGA) of a geometry-optimized KIn4Au structure.

## Properties
The energy of formation from the pure elements comes out at -0.1895 eV per atom. The calculation puts the density of states at the Fermi level at 0.378 states/eV/atom. The volume comes out at 27.102 Å³/atom.

abc: 4.717 17.639 7.817
angles: 90.00 90.00 90.00
Space group Cmcm (No. 63)
One atom of each set of equivalent atoms:
K 0.000 0.126 0.250 [4 per cell]
In 0.000 0.064 0.750 [4 per cell]
In 0.000 0.319 0.049 [8 per cell]
In 0.000 0.500 0.000 [4 per cell]
Au 0.000 0.224 0.750 [4 per cell]


# 8
The following is a DFT calculation (PBE-GGA) of a geometry-optimized Pr2ZnNi6Ge structure.

## Properties
The energy of formation from the pure elements comes out at -0.3344 eV per atom. The calculation puts the density of states at the Fermi level at 0.537 states/eV/atom. The volume comes out at 16.875 Å³/atom.

abc: 11.558 4.959 8.162
angles: 90.00 133.83 90.00
Space group C2/m (No. 12)
One atom of each set of equivalent atoms:
Pr 0.245 0.000 0.199 [4 per cell]
Zn 0.000 0.500 0.000 [2 per cell]
Ni 0.016 0.254 0.273 [8 per cell]
Ni 0.249 0.500 0.417 [4 per cell]
Ge 0.000 0.000 0.500 [2 per cell]


# 9
The following is a DFT calculation (PBE-GGA) of a geometry-optimized Cs2LiAs2O6 structure.

## Properties
The calculation puts the density of states at the Fermi level at 0.238 states/eV/atom. The volume comes out at 18.721 Å³/atom. The calculation puts the total energy at -5.28 eV per atom.

abc: 6.2780 6.2780 18.0998
angles: 90.00 90.00 120.00
Space group R-3m (No. 166, hexagonal axes)
One atom of each set of equivalent atoms:
Cs 0.0000 0.0000 0.2212 [6 per cell]
Li 0.0000 0.0000 0.0000 [3 per cell]
As 0.0000 0.0000 0.4251 [6 per cell]
O 0.0260 0.5130 0.2594 [18 per cell]


# 10
The following is a DFT calculation (PBE-GGA) of a geometry-optimized LaDy5Sc2 structure.

## Properties
The energy of formation from the pure elements comes out at 0.0419 eV per atom. The calculation puts the density of states at the Fermi level at 1.440 states/eV/atom. The volume comes out at 30.359 Å³/atom.

abc: 11.314 12.175 7.053
angles: 90.00 90.00 90.00
Space group Pbam (No. 55)
One atom of each set of equivalent atoms:
La 0.247 0.078 0.000 [4 per cell]
Dy 0.000 0.247 0.000 [4 per cell]
Dy 0.000 0.500 0.256 [4 per cell]
Dy 0.001 0.246 0.500 [4 per cell]
Dy 0.249 0.833 0.256 [8 per cell]
Sc 0.000 0.000 0.260 [4 per cell]
Sc 0.246 0.083 0.500 [4 per cell]


# 11
The following is a DFT calculation (PBE-GGA) of a geometry-optimized PuCd6O12 structure.

## Properties
The calculation puts the density of states at the Fermi level at 0.495 states/eV/atom. The volume comes out at 14.237 Å³/atom. The calculation puts the total energy at -5.16 eV per atom.

abc: 9.9972 9.9972 9.3760
angles: 90.00 90.00 120.00
Space group R-3 (No. 148, hexagonal axes)
One atom of each set of equivalent atoms:
Pu 0.0000 0.0000 0.0000 [3 per cell]
Cd 0.0358 0.2453 0.6446 [18 per cell]
O 0.0234 0.2278 0.4011 [18 per cell]
O 0.0352 0.1790 0.8827 [18 per cell]


# 12
The following is a DFT calculation (PBE-GGA) of a geometry-optimized Na3CdO2 structure.

## Properties
The calculation puts the density of states at the Fermi level at 0.137 states/eV/atom. The volume comes out at 18.409 Å³/atom. The calculation puts the total energy at -3.44 eV per atom.

abc: 13.997 3.690 9.952
angles: 90.00 120.73 90.00
Space group C2/m (No. 12)
One atom of each set of equivalent atoms:
Na 0.048 0.000 0.263 [4 per cell]
Na 0.167 0.500 0.008 [4 per cell]
Na 0.227 0.000 0.596 [4 per cell]
Cd 0.088 0.500 0.662 [4 per cell]
O 0.114 0.500 0.450 [4 per cell]
O 0.143 0.000 0.817 [4 per cell]


# 13
The following is a DFT calculation (PBE-GGA) of a geometry-optimized Y2MgRuPb structure.

## Properties
The energy of formation from the pure elements comes out at -0.0606 eV per atom. The calculation puts the density of states at the Fermi level at 0.688 states/eV/atom. The volume comes out at 29.604 Å³/atom.

abc: 5.306 5.306 5.258
angles: 90.00 90.00 90.00
Space group P4/mmm (No. 123)
One atom of each set of equivalent atoms:
Y 0.000 0.500 0.000 [2 per cell]
Mg 0.000 0.000 0.500 [1 per cell]
Ru 0.500 0.500 0.000 [1 per cell]
Pb 0.500 0.500 0.500 [1 per cell]


# 14
The following is a DFT calculation (PBE-GGA) of a geometry-optimized Tb3Pm7Sc2 structure.

## Properties
The energy of formation from the pure elements comes out at 0.0360 eV per atom. The calculation puts the density of states at the Fermi level at 1.514 states/eV/atom. The volume comes out at 31.949 Å³/atom.

abc: 7.165 9.977 11.304
angles: 90.00 108.39 90.00
Space group C2/m (No. 12)
One atom of each set of equivalent atoms:
Tb 0.000 0.000 0.000 [2 per cell]
Tb 0.169 0.500 0.338 [4 per cell]
Pm 0.000 0.250 0.500 [4 per cell]
Pm 0.000 0.500 0.000 [2 per cell]
Pm 0.165 0.250 0.830 [8 per cell]
Sc 0.167 0.000 0.334 [4 per cell]


# 15
The following is a DFT calculation (PBE-GGA) of a geometry-optimized KNi2Pt2 structure.

## Properties
The energy of formation from the pure elements comes out at 0.2896 eV per atom. The calculation puts the density of states at the Fermi level at 1.502 states/eV/atom. The volume comes out at 18.237 Å³/atom.

abc: 4.218 4.218 10.250
angles: 90.00 90.00 90.00
Space group I4/mmm (No. 139)
One atom of each set of equivalent atoms:
K 0.000 0.000 0.000 [2 per cell]
Ni 0.000 0.000 0.384 [4 per cell]
Pt 0.000 0.500 0.250 [4 per cell]


# 16
The following is a DFT calculation (PBE-GGA) of a geometry-optimized TlBr2N2 structure.

## Properties
The calculation puts the density of states at the Fermi level at 0.896 states/eV/atom. The volume comes out at 36.157 Å³/atom. The calculation puts the total energy at -4.76 eV per atom.

abc: 8.056 4.271 10.558
angles: 90.00 95.50 90.00
Space group C2/m (No. 12)
One atom of each set of equivalent atoms:
Tl 0.000 0.000 0.000 [2 per cell]
Br 0.159 0.500 0.847 [4 per cell]
N 0.046 0.000 0.464 [4 per cell]


# 17
The following is a DFT calculation (PBE-GGA) of a geometry-optimized CsPdBr3 structure.

## Properties
The calculation puts the density of states at the Fermi level at 0.000 states/eV/atom. The volume comes out at 40.585 Å³/atom. The calculation puts the total energy at -3.14 eV per atom.

abc: 10.998 19.550 7.550
angles: 90.00 90.00 90.00
Space group Fmm2 (No. 42)
One atom of each set of equivalent atoms:
Cs 0.000 0.162 0.000 [8 per cell]
Pd 0.000 0.087 0.532 [8 per cell]
Br 0.152 0.000 0.623 [8 per cell]
Br 0.158 0.168 0.440 [16 per cell]


# 18
The following is a DFT calculation (PBE-GGA) of a geometry-optimized Sc11Cd9Ni4 structure.

## Properties
The energy of formation from the pure elements comes out at -0.3809 eV per atom. The calculation puts the density of states at the Fermi level at 0.739 states/eV/atom. The volume comes out at 20.075 Å³/atom.

abc: 13.976 20.768 3.320
angles: 90.00 90.00 90.00
Space group Cmmm (No. 65)
One atom of each set of equivalent atoms:
Sc 0.000 0.000 0.000 [2 per cell]
Sc 0.000 0.157 0.000 [4 per cell]
Sc 0.000 0.371 0.000 [4 per cell]
Sc 0.189 0.500 0.000 [4 per cell]
Sc 0.248 0.332 0.000 [8 per cell]
Cd 0.000 0.500 0.500 [2 per cell]
Cd 0.106 0.259 0.500 [8 per cell]
Cd 0.147 0.072 0.500 [8 per cell]
Ni 0.147 0.400 0.500 [8 per cell]


# 19
The following is a DFT calculation (PBE-GGA) of a geometry-optimized GdErSnPb structure.

## Properties
The energy of formation from the pure elements comes out at -0.4711 eV per atom. The calculation puts the density of states at the Fermi level at 1.056 states/eV/atom. The volume comes out at 27.941 Å³/atom.

abc: 7.646 7.646 7.646
angles: 90.00 90.00 90.00
Space group F-43m (No. 216)
One atom of each set of equivalent atoms:
Gd 0.000 0.000 0.000 [4 per cell]
Er 0.000 0.000 0.500 [4 per cell]
Sn 0.250 0.250 0.750 [4 per cell]
Pb 0.250 0.250 0.250 [4 per cell]


# 20
The following is a DFT calculation (PBE-GGA) of a geometry-optimized AlZn3Pb structure.

## Properties
The energy of formation from the pure elements comes out at 0.3855 eV per atom. The calculation puts the density of states at the Fermi level at 0.557 states/eV/atom. The volume comes out at 23.629 Å³/atom.

abc: 4.907 4.907 4.907
angles: 90.00 90.00 90.00
Space group Pm-3m (No. 221)
One atom of each set of equivalent atoms:
Al 0.000 0.000 0.000 [1 per cell]
Zn 0.000 0.000 0.500 [3 per cell]
Pb 0.500 0.500 0.500 [1 per cell]


# 21
The following is a DFT calculation (PBE-GGA) of a geometry-optimized KLi2Tc structure.

## Properties
The energy of formation from the pure elements comes out at 0.7379 eV per atom. The calculation puts the density of states at the Fermi level at 1.067 states/eV/atom. The volume comes out at 20.732 Å³/atom.

abc: 2.9217 2.9217 33.6514
angles: 90.00 90.00 120.00
Space group R-3m (No. 166, hexagonal axes)
One atom of each set of equivalent atoms:
K 0.0000 0.0000 0.0000 [3 per cell]
Li 0.0000 0.0000 0.2327 [6 per cell]
Tc 0.0000 0.0000 0.5000 [3 per cell]


# 22
The following is a DFT calculation (PBE-GGA) of a geometry-optimized RbPa3Te6 structure.

## Properties
The calculation puts the density of states at the Fermi level at 1.457 states/eV/atom. The volume comes out at 38.230 Å³/atom. The calculation puts the total energy at -5.66 eV per atom.

abc: 13.555 4.349 13.633
angles: 90.00 107.94 90.00
Space group P2_1/m (No. 11)
One atom of each set of equivalent atoms:
Rb 0.111 0.250 0.376 [2 per cell]
Pa 0.153 0.250 0.041 [2 per cell]
Pa 0.286 0.750 0.730 [2 per cell]
Pa 0.476 0.750 0.374 [2 per cell]
Te 0.050 0.750 0.139 [2 per cell]
Te 0.124 0.250 0.648 [2 per cell]
Te 0.257 0.750 0.948 [2 per cell]
Te 0.323 0.250 0.254 [2 per cell]
Te 0.351 0.750 0.532 [2 per cell]
Te 0.447 0.250 0.817 [2 per cell]